Material: PmPaTlSb
Method: DFT, GGA-PBE
State: relaxed

```
PmPaTlSb
1.0
5.3975 0.0000 0.0000
2.6988 4.6744 0.0000
2.6988 1.5581 4.4071
Pm Tl Sb Pa
1 1 1 1
Cartesian
2.6988 1.5581 1.1018
0.0000 0.0000 0.0000
5.3975 3.1163 2.2035
8.0963 4.6744 3.3053
```

* E: -5.41 eV/atom
* space group: F-43m
* formation energy without anion corrections: -0.9 eV/f.u.
* M_tot: 2.32 μB/cell


Material: PmTm2PaSb4
Method: DFT, GGA-PBE
State: relaxed

```
PmTm2PaSb4
1.0
-1.3756 -0.1459 4.1549
6.9428 -2.1815 2.2221
-0.4151 7.5555 0.1278
Sb Pm Tm Pa
4 1 2 1
Cartesian
0.9891 1.3122 2.6812
1.4331 5.0719 0.6525
4.1630 3.9159 3.8235
5.0945 0.3020 1.6973
0.0000 0.0000 0.0000
3.2638 2.6870 1.1749
-0.8954 3.7048 2.1413
2.7836 -1.1637 3.1885
```

* E: -5.89 eV/atom
* space group: P2/m
* formation energy without anion corrections: -7.5 eV/f.u.
* M_tot: 0.92 μB/cell